Entry 1:
Below is a relaxed ZrSn3Bi crystal, with properties calculated at the GGA-PBEsol level.

POSCAR file:
```
ZrSn3Bi
1.0
-2.611 4.817 0.252
-2.374 -1.034 -4.835
-4.199 -2.410 2.577
Zr Bi Sn
1 1 3
Direct
0.000 0.000 0.000
0.500 0.500 0.500
0.500 0.000 0.000
0.000 0.000 0.500
0.000 0.500 0.000
```

Properties
symmetry: No. 221
ΔE to the lowest computed polymorph: 0 meV per atom
calculated volume: 33.0 Å³/atom
final energy: -4.78 eV/atom
calculated formation energy: 0.448 eV/atom

---

Entry 2:
Below is a relaxed Sr4Bi3 crystal, with properties calculated at the GGA-PBEsol level.

POSCAR file:
```
Sr4Bi3
1.0
8.701 0.000 0.000
-2.900 8.203 0.000
-2.900 -4.102 7.104
Bi Sr
6 8
Direct
0.125 0.250 0.375
0.625 0.375 0.250
0.875 0.125 0.750
0.250 0.875 0.625
0.375 0.750 0.125
0.750 0.625 0.875
0.854 0.854 0.354
0.354 0.354 0.854
0.146 0.000 0.000
0.000 0.500 0.646
0.500 0.646 0.500
0.500 0.146 0.500
0.646 0.000 0.000
0.000 0.500 0.146
```

Properties
symmetry: No. 220
calculated volume: 36.2 Å³/atom
final energy: -3.80 eV/atom
calculated formation energy: -0.914 eV/atom

---

Entry 3:
Below is a relaxed Sr2Bi crystal, with properties calculated at the GGA-PBEsol level.

POSCAR file:
```
Sr2Bi
1.0
-2.651 4.171 -1.001
-1.033 0.522 4.908
9.237 2.601 -0.923
Sr Bi
4 2
Direct
0.500 0.000 0.000
0.000 0.500 0.000
0.677 0.677 0.354
0.323 0.323 0.646
0.865 0.865 0.729
0.135 0.135 0.271
```

Properties
symmetry: No. 139
calculated volume: 38.0 Å³/atom
final energy: -3.44 eV/atom
calculated formation energy: -0.786 eV/atom

---

Entry 4:
Below is a relaxed Sr11Bi10 crystal, with properties calculated at the GGA-PBEsol level.

POSCAR file:
```
Sr11Bi10
1.0
-4.497 -1.765 11.794
4.626 -9.975 -6.616
11.079 -5.283 3.434
Bi Sr
20 22
Direct
0.533 0.652 0.467
0.877 0.754 0.123
0.649 0.000 0.000
0.626 0.000 0.626
0.250 0.500 0.250
0.626 0.000 0.374
0.119 0.652 0.467
0.000 0.000 0.649
0.750 0.500 0.750
0.374 0.000 0.374
0.467 0.348 0.533
0.881 0.348 0.533
0.119 0.652 0.881
0.000 0.000 0.351
0.351 0.000 0.000
0.467 0.348 0.119
0.123 0.246 0.877
0.374 0.000 0.626
0.881 0.348 0.119
0.533 0.652 0.881
0.604 0.207 0.734
0.167 0.000 0.167
0.339 0.678 0.661
0.604 0.207 0.058
0.058 0.793 0.604
0.734 0.793 0.604
0.061 0.620 0.190
0.440 0.380 0.810
0.266 0.207 0.396
0.396 0.793 0.266
0.833 0.000 0.833
0.810 0.620 0.939
0.833 0.000 0.167
0.942 0.207 0.396
0.190 0.380 0.560
0.396 0.793 0.942
0.167 0.000 0.833
0.939 0.380 0.810
0.560 0.620 0.190
0.810 0.620 0.440
0.661 0.322 0.339
0.190 0.380 0.061
```

Properties
symmetry: No. 139
calculated volume: 35.3 Å³/atom
final energy: -3.90 eV/atom
calculated formation energy: -0.899 eV/atom

---

Entry 5:
Below is a relaxed SrBi3 crystal, with properties calculated at the GGA-PBEsol level.

POSCAR file:
```
SrBi3
1.0
4.990 0.000 0.000
0.000 4.990 0.000
0.000 0.000 4.990
Bi Sr
3 1
Direct
0.500 0.500 0.000
0.500 0.000 0.500
0.000 0.500 0.500
0.000 0.000 0.000
```

Properties
symmetry: No. 221
calculated volume: 31.1 Å³/atom
final energy: -4.17 eV/atom
calculated formation energy: -0.498 eV/atom

---

Entry 6:
Below is a relaxed Sr3BiTe crystal, with properties calculated at the GGA-PBEsol level.

POSCAR file:
```
Sr3BiTe
1.0
-5.890 -0.950 1.701
0.074 -5.522 -2.828
1.947 -2.665 5.254
Bi Sr Te
1 3 1
Direct
0.000 0.000 0.000
0.500 0.000 0.000
0.000 0.500 0.000
0.000 0.000 0.500
0.500 0.500 0.500
```

Properties
symmetry: No. 221
raw formation energy: -0.5723 eV/atom
calculated volume: 47.8 Å³/atom
final energy: -3.24 eV/atom

---

Entry 7:
Below is a relaxed Sr2Bi2Te crystal, with properties calculated at the GGA-PBEsol level.

POSCAR file:
```
Sr2Bi2Te
1.0
-1.992 -5.547 -2.561
0.934 0.428 6.408
-5.061 -0.012 3.961
Sr Te Bi
2 1 2
Direct
0.750 0.500 0.750
0.250 0.500 0.250
0.000 0.000 0.000
0.337 0.674 0.663
0.663 0.326 0.337
```

Properties
symmetry: No. 139
raw formation energy: -0.5875 eV/atom
calculated volume: 38.3 Å³/atom
final energy: -3.74 eV/atom

---

Entry 8:
Below is a relaxed SrTi2ZnBi crystal, with properties calculated at the GGA-PBEsol level.

POSCAR file:
```
SrTi2ZnBi
1.0
4.919 0.000 0.000
0.000 4.919 0.000
0.000 0.000 5.488
Ti Sr Bi Zn
2 1 1 1
Direct
0.000 0.500 0.000
0.500 0.000 0.000
0.500 0.500 0.500
0.000 0.000 0.500
0.000 0.000 0.000
```

Properties
symmetry: No. 123
calculated volume: 26.6 Å³/atom
final energy: -4.36 eV/atom
calculated formation energy: 0.512 eV/atom

---

Q: What is the calculated volume in the sixth record?
A: 47.8 Å³/atom

---

Q: Which of these has the highest calculated volume?
A: Sr3BiTe

---

What did the sixth record say?
Below is a relaxed Sr3BiTe crystal, with properties calculated at the GGA-PBEsol level.

POSCAR file:
```
Sr3BiTe
1.0
-5.890 -0.950 1.701
0.074 -5.522 -2.828
1.947 -2.665 5.254
Bi Sr Te
1 3 1
Direct
0.000 0.000 0.000
0.500 0.000 0.000
0.000 0.500 0.000
0.000 0.000 0.500
0.500 0.500 0.500
```

Properties
symmetry: No. 221
raw formation energy: -0.5723 eV/atom
calculated volume: 47.8 Å³/atom
final energy: -3.24 eV/atom

---

Q: Which of these has the lowest calculated volume?
A: SrTi2ZnBi